[1]
Density functional theory data (PBE) for a relaxed LiHPtSe crystal.

Geometry as extended XYZ:
```
4
Lattice="3.314 -2.321 0.000 3.314 2.321 0.000 -2.020 0.000 3.922" Properties=species:S:1:pos:R:3 pbc="T T T"
Li 0.000 0.000 0.000
H 0.360 0.000 2.496
Pt 1.834 0.000 1.967
Se 4.408 0.000 1.349
```

N(E_F): 0.06 states/eV/atom
Offset from the most stable computed form: 9 kJ/mol of formula units

[2]
Density functional theory data (PBE) for a relaxed DyGa4Au crystal.

Geometry as extended XYZ:
```
6
Lattice="5.480 -2.194 0.000 5.480 2.194 0.000 -3.882 0.000 5.271" Properties=species:S:1:pos:R:3 pbc="T T T"
Dy 0.000 0.000 0.000
Ga 3.337 0.000 0.044
Ga 1.003 0.000 3.202
Ga 6.076 0.000 2.069
Ga 3.742 0.000 5.227
Au 3.540 0.000 2.636
```

N(E_F): 0.23 states/eV/atom
Formation energy from the elements: -0.32 eV per atom

[3]
Density functional theory data (PBE) for a relaxed ZrRe2Rh crystal.

Geometry as extended XYZ:
```
4
Lattice="2.794 0.000 0.000 0.000 4.818 0.000 -0.460 0.000 4.872" Properties=species:S:1:pos:R:3 pbc="T T T"
Zr 0.000 0.000 0.000
Re 0.485 2.409 3.671
Re 1.849 2.409 1.201
Rh 1.167 0.000 2.436
```

N(E_F): 1.21 states/eV/atom
Offset from the most stable computed form: 61 kJ/mol of formula units
Formation energy from the elements: 0.03 eV per atom

[4]
Density functional theory data (PBE) for a relaxed InSnHgF2 crystal.

Geometry as extended XYZ:
```
5
Lattice="4.452 0.000 0.000 0.000 4.452 0.000 0.000 0.000 5.954" Properties=species:S:1:pos:R:3 pbc="T T T"
In 0.000 0.000 0.000
Sn 0.000 0.000 2.977
Hg 2.226 2.226 0.000
F 0.000 2.226 2.977
F 2.226 0.000 2.977
```

Formation energy without anion corrections: -6.210 eV per formula unit
N(E_F): 0.13 states/eV/atom
Offset from the most stable computed form: 0 kJ/mol of formula units

[5]
Density functional theory data (PBE) for a relaxed YTePb2 crystal.

Geometry as extended XYZ:
```
4
Lattice="3.858 0.000 0.000 0.000 3.858 0.000 0.000 0.000 8.366" Properties=species:S:1:pos:R:3 pbc="T T T"
Y 0.000 0.000 0.000
Te 1.929 1.929 6.921
Pb 0.000 0.000 4.258
Pb 1.929 1.929 2.276
```

Formation energy without anion corrections: -2.060 eV per formula unit
N(E_F): 0.30 states/eV/atom

[6]
Density functional theory data (PBE) for a relaxed CaErPt crystal.

Geometry as extended XYZ:
```
3
Lattice="0.000 3.437 3.437 3.437 0.000 3.437 3.437 3.437 0.000" Properties=species:S:1:pos:R:3 pbc="T T T"
Ca 0.000 0.000 0.000
Er 3.437 3.437 3.437
Pt 1.719 1.719 1.719
```

N(E_F): 0.70 states/eV/atom
Offset from the most stable computed form: 25 kJ/mol of formula units
Formation energy from the elements: -0.79 eV per atom

[7]
Density functional theory data (PBE) for a relaxed SrLi2La2Sn2 crystal.

Geometry as extended XYZ:
```
7
Lattice="2.462 1.421 9.751 -2.462 1.421 9.751 0.000 -2.842 9.751" Properties=species:S:1:pos:R:3 pbc="T T T"
Sr 0.000 0.000 0.000
Li 0.000 0.000 12.046
Li 0.000 0.000 17.205
La 0.000 0.000 3.930
La 0.000 0.000 25.321
Sn 0.000 0.000 7.509
Sn 0.000 0.000 21.743
```

N(E_F): 0.39 states/eV/atom
Formation energy from the elements: -0.51 eV per atom

[8]
Density functional theory data (PBE) for a relaxed Nb2CoBr crystal.

Geometry as extended XYZ:
```
8
Lattice="-2.825 2.825 5.677 2.825 -2.825 5.677 2.825 2.825 -5.677" Properties=species:S:1:pos:R:3 pbc="T T T"
Nb 4.237 1.115 -1.419
Nb 1.115 1.412 1.419
Nb -1.412 1.710 4.258
Nb 1.710 1.412 7.097
Co 0.000 0.000 0.000
Co 0.000 2.825 2.839
Br 2.825 0.000 2.839
Br 0.000 0.000 5.677
```

Formation energy without anion corrections: 2.879 eV per formula unit
N(E_F): 1.29 states/eV/atom
Offset from the most stable computed form: 93 kJ/mol of formula units

[9]
Density functional theory data (PBE) for a relaxed CaZrOs2 crystal.

Geometry as extended XYZ:
```
4
Lattice="2.963 0.000 0.000 0.000 4.317 0.000 -1.387 0.000 6.094" Properties=species:S:1:pos:R:3 pbc="T T T"
Ca 0.000 0.000 0.000
Zr 0.788 0.000 3.047
Os -0.082 2.158 4.264
Os 1.658 2.158 1.830
```

N(E_F): 0.59 states/eV/atom
Formation energy from the elements: 0.27 eV per atom

[10]
Density functional theory data (PBE) for a relaxed LiNdTl4 crystal.

Geometry as extended XYZ:
```
6
Lattice="4.697 0.000 0.000 0.000 4.697 0.000 0.000 0.000 8.001" Properties=species:S:1:pos:R:3 pbc="T T T"
Li 0.000 0.000 0.000
Nd 2.348 2.348 4.001
Tl 0.000 2.348 1.661
Tl 0.000 2.348 6.340
Tl 2.348 0.000 1.661
Tl 2.348 0.000 6.340
```

N(E_F): 0.72 states/eV/atom
Formation energy from the elements: -0.03 eV per atom

[11]
Density functional theory data (PBE) for a relaxed CeHAu2 crystal.

Geometry as extended XYZ:
```
4
Lattice="1.470 0.849 9.093 -1.470 0.849 9.093 0.000 -1.697 9.093" Properties=species:S:1:pos:R:3 pbc="T T T"
Ce 0.000 0.000 0.000
H 0.000 0.000 13.639
Au 0.000 0.000 3.095
Au 0.000 0.000 24.183
```

N(E_F): 1.02 states/eV/atom
Offset from the most stable computed form: 289 kJ/mol of formula units

[12]
Density functional theory data (PBE) for a relaxed Na3In3Ga8 crystal.

Geometry as extended XYZ:
```
14
Lattice="-2.232 5.144 6.873 2.232 -5.144 6.873 2.232 5.144 -6.873" Properties=species:S:1:pos:R:3 pbc="T T T"
Na 0.000 0.000 0.000
Na 0.000 0.000 4.169
Na 0.000 0.000 9.577
In 2.232 3.020 0.000
In 0.000 5.144 0.000
In 0.000 2.125 6.873
Ga 2.232 -1.260 2.240
Ga 2.232 -2.374 4.650
Ga 2.232 1.260 2.240
Ga 0.000 2.770 2.223
Ga 2.232 2.374 4.650
Ga 0.000 3.884 4.633
Ga 0.000 7.518 2.223
Ga 0.000 6.404 4.633
```

N(E_F): 0.34 states/eV/atom
Formation energy from the elements: -0.10 eV per atom

[13]
Density functional theory data (PBE) for a relaxed Sm2Ga2Au crystal.

Geometry as extended XYZ:
```
10
Lattice="5.420 -2.250 0.000 5.420 2.250 0.000 -5.115 0.000 9.586" Properties=species:S:1:pos:R:3 pbc="T T T"
Sm -1.513 0.000 3.150
Sm 1.464 0.000 1.065
Sm 4.261 0.000 8.521
Sm 7.239 0.000 6.436
Ga 1.682 0.000 4.247
Ga 4.578 0.000 1.025
Ga 1.147 0.000 8.561
Ga 4.043 0.000 5.339
Au -0.418 0.000 6.325
Au 6.143 0.000 3.261
```

N(E_F): 0.54 states/eV/atom
Formation energy from the elements: -0.71 eV per atom

[14]
Density functional theory data (PBE) for a relaxed BaMg3Ge crystal.

Geometry as extended XYZ:
```
5
Lattice="5.388 0.000 0.000 0.000 5.388 0.000 0.000 0.000 5.388" Properties=species:S:1:pos:R:3 pbc="T T T"
Ba 0.000 0.000 0.000
Mg 0.000 2.694 2.694
Mg 2.694 0.000 2.694
Mg 2.694 2.694 0.000
Ge 2.694 2.694 2.694
```

N(E_F): 0.90 states/eV/atom
Offset from the most stable computed form: 0 kJ/mol of formula units
Formation energy from the elements: 0.01 eV per atom

[15]
Density functional theory data (PBE) for a relaxed Cs2SrOsCl6 crystal.

Geometry as extended XYZ:
```
10
Lattice="0.000 5.285 5.285 5.285 0.000 5.285 5.285 5.285 0.000" Properties=species:S:1:pos:R:3 pbc="T T T"
Cs 2.643 2.643 2.643
Cs 7.928 7.928 7.928
Sr 0.000 0.000 0.000
Os 5.285 5.285 5.285
Cl 5.285 5.285 2.862
Cl 5.285 2.862 5.285
Cl 7.708 5.285 5.285
Cl 2.862 5.285 5.285
Cl 5.285 7.708 5.285
Cl 5.285 5.285 7.708
```

Formation energy without anion corrections: -14.499 eV per formula unit
N(E_F): 0.00 states/eV/atom

[16]
Density functional theory data (PBE) for a relaxed CuGeTe crystal.

Geometry as extended XYZ:
```
3
Lattice="-1.667 1.667 5.805 1.667 -1.667 5.805 1.667 1.667 -5.805" Properties=species:S:1:pos:R:3 pbc="T T T"
Cu 0.000 0.000 0.000
Ge 0.000 0.000 6.865
Te 0.000 0.000 3.938
```

Formation energy without anion corrections: 0.797 eV per formula unit
N(E_F): 0.56 states/eV/atom

[17]
Density functional theory data (PBE) for a relaxed SnRhO3 crystal.

Geometry as extended XYZ:
```
5
Lattice="3.940 0.000 0.000 0.000 3.940 0.000 0.000 0.000 3.940" Properties=species:S:1:pos:R:3 pbc="T T T"
Sn 0.000 0.000 0.000
Rh 1.970 1.970 1.970
O 0.000 1.970 1.970
O 1.970 0.000 1.970
O 1.970 1.970 0.000
```

Formation energy without anion corrections: -3.000 eV per formula unit
N(E_F): 0.53 states/eV/atom

[18]
Density functional theory data (PBE) for a relaxed PrSmPuO6 crystal.

Geometry as extended XYZ:
```
18
Lattice="5.881 0.000 0.000 -2.940 5.093 0.000 0.000 0.000 9.730" Properties=species:S:1:pos:R:3 pbc="T T T"
Pr 0.000 0.000 0.000
Pr 0.000 0.000 4.865
Sm 0.000 3.395 2.432
Sm 2.940 1.698 7.297
Pu 0.000 3.395 7.297
Pu 2.940 1.698 2.432
O -0.884 1.872 6.189
O -1.761 3.391 8.405
O 0.884 1.872 8.405
O -0.877 4.922 6.189
O 2.063 0.170 1.325
O 1.179 1.701 3.540
O 1.761 3.391 6.189
O 0.877 4.922 8.405
O 3.818 0.170 3.540
O 2.056 3.221 1.325
O 4.702 1.701 1.325
O 3.824 3.221 3.540
```

Formation energy without anion corrections: -26.884 eV per formula unit
N(E_F): 0.83 states/eV/atom

[19]
Density functional theory data (PBE) for a relaxed BaTi2V crystal.

Geometry as extended XYZ:
```
4
Lattice="3.374 0.000 0.000 0.000 8.738 0.000 0.000 0.000 3.066" Properties=species:S:1:pos:R:3 pbc="T T T"
Ba 0.000 0.000 0.000
Ti 1.687 2.966 3.036
Ti 1.687 5.772 3.036
V 0.000 4.369 1.505
```

N(E_F): 1.45 states/eV/atom
Offset from the most stable computed form: 77 kJ/mol of formula units
Formation energy from the elements: 0.47 eV per atom

[20]
Density functional theory data (PBE) for a relaxed ScSbHRu2 crystal.

Geometry as extended XYZ:
```
5
Lattice="4.204 0.000 0.000 0.000 4.204 0.000 0.000 0.000 3.879" Properties=species:S:1:pos:R:3 pbc="T T T"
Sc 0.000 0.000 0.000
Sb 2.102 2.102 0.000
H 0.000 0.000 1.939
Ru 0.000 2.102 1.939
Ru 2.102 0.000 1.939
```

N(E_F): 0.70 states/eV/atom
Electronic total energy: -0.251 Ha/atom

[21]
Density functional theory data (PBE) for a relaxed NdCuSn3 crystal.

Geometry as extended XYZ:
```
20
Lattice="12.801 0.000 0.000 0.000 6.264 0.000 0.000 0.000 6.173" Properties=species:S:1:pos:R:3 pbc="T T T"
Nd 2.543 0.026 1.543
Nd 2.543 3.106 4.630
Nd 10.258 3.159 1.543
Nd 10.258 6.238 4.630
Cu 4.963 1.566 0.000
Cu 4.963 1.566 3.086
Cu 7.837 4.698 0.000
Cu 7.837 4.698 3.086
Sn 0.009 1.566 0.000
Sn 0.009 1.566 3.086
Sn 3.470 3.229 1.543
Sn 3.470 6.167 4.630
Sn 5.725 3.784 4.630
Sn 5.725 5.613 1.543
Sn 7.075 0.652 4.630
Sn 7.075 2.480 1.543
Sn 9.331 0.097 1.543
Sn 9.331 3.035 4.630
Sn 12.791 4.698 0.000
Sn 12.791 4.698 3.086
```

N(E_F): 0.68 states/eV/atom
Formation energy from the elements: -0.35 eV per atom

[22]
Density functional theory data (PBE) for a relaxed YZr2Se crystal.

Geometry as extended XYZ:
```
4
Lattice="4.167 0.000 0.000 0.000 4.167 0.000 0.000 0.000 5.226" Properties=species:S:1:pos:R:3 pbc="T T T"
Y 0.000 0.000 0.000
Zr 0.000 2.084 2.613
Zr 2.084 0.000 2.613
Se 2.084 2.084 0.000
```

Formation energy without anion corrections: -1.260 eV per formula unit
N(E_F): 1.00 states/eV/atom

[23]
Density functional theory data (PBE) for a relaxed SrIn2Ag5 crystal.

Geometry as extended XYZ:
```
8
Lattice="-2.062 3.902 5.808 2.062 -3.902 5.808 2.062 3.902 -5.808" Properties=species:S:1:pos:R:3 pbc="T T T"
Sr 0.000 0.000 0.000
In 2.062 0.000 2.871
In 0.000 3.902 2.937
Ag 2.062 2.416 -1.457
Ag 2.062 2.416 1.457
Ag 0.000 3.902 0.000
Ag 0.000 1.485 4.351
Ag 0.000 1.485 7.266
```

N(E_F): 0.40 states/eV/atom
Formation energy from the elements: -0.12 eV per atom

[24]
Density functional theory data (PBE) for a relaxed CeGd3H crystal.

Geometry as extended XYZ:
```
5
Lattice="5.007 0.000 0.000 0.000 5.007 0.000 0.000 0.000 5.007" Properties=species:S:1:pos:R:3 pbc="T T T"
Ce 0.000 0.000 0.000
Gd 0.000 2.504 2.504
Gd 2.504 0.000 2.504
Gd 2.504 2.504 0.000
H 2.504 2.504 2.504
```

N(E_F): 1.78 states/eV/atom
Electronic total energy: -0.383 Ha/atom

[25]
Density functional theory data (PBE) for a relaxed Mo2Ir2Se crystal.

Geometry as extended XYZ:
```
10
Lattice="7.799 0.000 0.000 0.000 7.799 0.000 0.000 0.000 2.767" Properties=species:S:1:pos:R:3 pbc="T T T"
Mo 1.268 2.631 0.000
Mo 2.631 6.531 0.000
Mo 5.167 1.268 0.000
Mo 6.531 5.167 0.000
Ir 0.992 4.892 1.384
Ir 2.907 0.992 1.384
Ir 4.892 6.807 1.384
Ir 6.807 2.907 1.384
Se 0.000 0.000 1.384
Se 3.899 3.899 1.384
```

Formation energy without anion corrections: 1.011 eV per formula unit
N(E_F): 0.98 states/eV/atom
Offset from the most stable computed form: 0 kJ/mol of formula units